Record 1
DFT (PBE) results for a relaxed structure of LiSc2W.

Its total energy is -51.4 eV/cell. Its energy of formation is 0.4606 eV/atom. The value obtained for the offset from the most stable computed form is 1.02 eV per formula unit.

It has space group Immm (No. 71), with a = 3.1501 Å, b = 5.1676 Å, c = 9.2037 Å, α = 90.00°, β = 90.00° and γ = 90.00°. The distinct sites, in fractional coordinates, are Li at (0.0000, 0.0000, 0.0000), Sc at (0.0000, 0.5000, 0.2559) and W at (0.0000, 0.0000, 0.5000).

Record 2
DFT (PBE) results for a relaxed structure of LiSc2W.

Its total energy is -104.7 eV/cell. Its energy of formation is 0.3368 eV/atom. The value obtained for the offset from the most stable computed form is 0.53 eV per formula unit.

It has space group Fm-3m (No. 225), with a = 6.6966 Å, b = 6.6966 Å, c = 6.6966 Å, α = 90.00°, β = 90.00° and γ = 90.00°. The distinct sites, in fractional coordinates, are Li at (0.0000, 0.0000, 0.0000), Sc at (0.2500, 0.2500, 0.2500) and W at (0.0000, 0.0000, 0.5000).

Record 3
DFT (PBE) results for a relaxed structure of LiScW2.

Its total energy is -64.6 eV/cell. Its energy of formation is 0.4666 eV/atom. The value obtained for the offset from the most stable computed form is 0.73 eV per formula unit.

It has space group Cmmm (No. 65), with a = 5.3677 Å, b = 9.3546 Å, c = 2.7106 Å, α = 90.00°, β = 90.00° and γ = 90.00°. The distinct sites, in fractional coordinates, are Li at (0.0000, 0.0000, 0.0000), Sc at (0.0000, 0.5000, 0.0000) and W at (0.2500, 0.2500, 0.5000).

Record 4
DFT (PBE) results for a relaxed structure of LiSc2W.

Its total energy is -78.4 eV/cell. Its energy of formation is 0.3466 eV/atom. The value obtained for the offset from the most stable computed form is 0.57 eV per formula unit.

It has space group R-3m (No. 166, hexagonal axes), with a = 3.0405 Å, b = 3.0405 Å, c = 31.5709 Å, α = 90.00°, β = 90.00° and γ = 120.00°. The distinct sites, in fractional coordinates, are Li at (0.0000, 0.0000, 0.0000), Sc at (0.0000, 0.0000, 0.0934) and W at (0.0000, 0.0000, 0.5000).

Record 5
DFT (PBE) results for a relaxed structure of Li4ScW.

Its total energy is -94.9 eV/cell. Its energy of formation is 0.5376 eV/atom.

It has space group F-43m (No. 216), with a = 7.2712 Å, b = 7.2712 Å, c = 7.2712 Å, α = 90.00°, β = 90.00° and γ = 90.00°. The distinct sites, in fractional coordinates, are Li at (0.1228, 0.1228, 0.3772), Sc at (0.0000, 0.0000, 0.0000) and W at (0.2500, 0.2500, 0.7500).

Record 6
DFT (PBE) results for a relaxed structure of LiScW2.

Its total energy is -65.2 eV/cell. Its energy of formation is 0.3919 eV/atom. The value obtained for the offset from the most stable computed form is 0.43 eV per formula unit.

It has space group C2/m (No. 12), with a = 5.4180 Å, b = 9.7842 Å, c = 2.7237 Å, α = 90.00°, β = 111.06° and γ = 90.00°. The distinct sites, in fractional coordinates, are Li at (0.0000, 0.0000, 0.0000), Sc at (0.0000, 0.5000, 0.0000) and W at (0.2500, 0.2500, 0.5000).

Record 7
DFT (PBE) results for a relaxed structure of LiSc2W.

Its total energy is -52.4 eV/cell. Its energy of formation is 0.3368 eV/atom. The value obtained for the offset from the most stable computed form is 0.53 eV per formula unit.

It has space group Imm2 (No. 44), with a = 3.0187 Å, b = 4.9402 Å, c = 10.2423 Å, α = 90.00°, β = 90.00° and γ = 90.00°. The distinct sites, in fractional coordinates, are Li at (0.0000, 0.0000, 0.0000), Sc at (0.0000, 0.0000, 0.5359), Sc at (0.0000, 0.5000, 0.7476) and W at (0.0000, 0.5000, 0.2770).

Record 8
DFT (PBE) results for a relaxed structure of LiScW.

Its total energy is -70.3 eV/cell. Its energy of formation is 1.2110 eV/atom. The value obtained for the offset from the most stable computed form is 2.58 eV per formula unit.

It has space group F-43m (No. 216), with a = 6.0245 Å, b = 6.0245 Å, c = 6.0245 Å, α = 90.00°, β = 90.00° and γ = 90.00°. The distinct sites, in fractional coordinates, are Li at (0.0000, 0.0000, 0.0000), Sc at (0.2500, 0.2500, 0.7500) and W at (0.2500, 0.2500, 0.2500).

Record 9
DFT (PBE) results for a relaxed structure of LiSc2W.

Its total energy is -26.0 eV/cell. Its energy of formation is 0.3888 eV/atom. The value obtained for the offset from the most stable computed form is 0.74 eV per formula unit.

It has space group Pmm2 (No. 25), with a = 2.8657 Å, b = 4.5859 Å, c = 5.8817 Å, α = 90.00°, β = 90.00° and γ = 90.00°. The distinct sites, in fractional coordinates, are Li at (0.0000, 0.0000, 0.0000), Sc at (0.0000, 0.0000, 0.5460), Sc at (0.5000, 0.5000, 0.2413) and W at (0.5000, 0.5000, 0.7322).

Record 10
DFT (PBE) results for a relaxed structure of LiZr2ScW.

Its total energy is -34.2 eV/cell. Its energy of formation is 0.8212 eV/atom.

It has space group P4/mmm (No. 123), with a = 5.0117 Å, b = 5.0117 Å, c = 5.0256 Å, α = 90.00°, β = 90.00° and γ = 90.00°. The distinct sites, in fractional coordinates, are Li at (0.0000, 0.0000, 0.0000), Zr at (0.0000, 0.5000, 0.5000), Sc at (0.5000, 0.5000, 0.0000) and W at (0.0000, 0.0000, 0.5000).

Record 11
DFT (PBE) results for a relaxed structure of LiYSc2.

Its total energy is -20.4 eV/cell. Its energy of formation is 0.1675 eV/atom. The value obtained for the offset from the most stable computed form is 0.30 eV per formula unit.

It has space group P2/m (No. 10), with a = 3.2978 Å, b = 5.0985 Å, c = 6.2111 Å, α = 90.00°, β = 104.94° and γ = 90.00°. The distinct sites, in fractional coordinates, are Li at (0.0000, 0.0000, 0.0000), Y at (0.5000, 0.0000, 0.5000) and Sc at (0.1609, 0.5000, 0.7635).

Record 12
DFT (PBE) results for a relaxed structure of LiYSc2.

Its total energy is -20.2 eV/cell. Its energy of formation is 0.2071 eV/atom. The value obtained for the offset from the most stable computed form is 0.46 eV per formula unit.

It has space group P4/mmm (No. 123), with a = 4.4973 Å, b = 4.4973 Å, c = 5.0108 Å, α = 90.00°, β = 90.00° and γ = 90.00°. The distinct sites, in fractional coordinates, are Li at (0.0000, 0.0000, 0.0000), Y at (0.5000, 0.5000, 0.0000) and Sc at (0.0000, 0.5000, 0.5000).

Record 13
DFT (PBE) results for a relaxed structure of LiY2Sc2.

Its total energy is -51.6 eV/cell. Its energy of formation is 0.3389 eV/atom. The value obtained for the offset from the most stable computed form is 0.26 eV per formula unit.

It has space group P4/mbm (No. 127), with a = 8.9964 Å, b = 8.9964 Å, c = 3.5756 Å, α = 90.00°, β = 90.00° and γ = 90.00°. The distinct sites, in fractional coordinates, are Li at (0.0000, 0.0000, 0.0000), Y at (0.1308, 0.3692, 0.0000) and Sc at (0.1668, 0.6668, 0.5000).

Record 14
DFT (PBE) results for a relaxed structure of LiYSc2.

Its total energy is -41.3 eV/cell. Its energy of formation is 0.0918 eV/atom. The value obtained for the offset from the most stable computed form is 0.00 eV per formula unit.

It has space group Immm (No. 71), with a = 3.5316 Å, b = 5.1892 Å, c = 10.7767 Å, α = 90.00°, β = 90.00° and γ = 90.00°. The distinct sites, in fractional coordinates, are Li at (0.0000, 0.0000, 0.0000), Y at (0.0000, 0.0000, 0.5000) and Sc at (0.0000, 0.5000, 0.2752).

Record 15
DFT (PBE) results for a relaxed structure of Li3YSc.

Its total energy is -13.4 eV/cell. Its energy of formation is 1.0230 eV/atom. The value obtained for the offset from the most stable computed form is 1.44 eV per formula unit.

It has space group Pm-3m (No. 221), with a = 5.0885 Å, b = 5.0885 Å, c = 5.0885 Å, α = 90.00°, β = 90.00° and γ = 90.00°. The distinct sites, in fractional coordinates, are Li at (0.0000, 0.0000, 0.5000), Y at (0.0000, 0.0000, 0.0000) and Sc at (0.5000, 0.5000, 0.5000).